## Hf2ZnAg3 (PBE-GGA)

Data for a geometry-optimized Hf2ZnAg3 structure.

```
Hf2ZnAg3
1.0
3.418 0.000 0.000
0.000 3.418 0.000
0.000 0.000 9.450
Ag Hf Zn
3 2 1
Cartesian
1.709 1.709 1.609
0.000 0.000 3.076
0.000 0.000 6.426
1.709 1.709 4.700
0.000 0.000 9.417
1.709 1.709 7.847
```

## Properties
Calculated volume (Å³/cell): 110
Calculated formation energy (eV per atom): 0.022